VASP calculation (PBE with a Hubbard U) on crystalline Na4Cr3CoO8 at its relaxed geometry.

Cell: 6.021 6.380 6.022 Å, 118.19 120.00 90.00°
Last column: magnetic moment on the atom in μB.
Element x y z (fractional)
Cr1 0.500 0.500 0.000  3.00
Cr2 0.000 0.500 0.500  3.00
Cr3 0.500 0.500 0.500  3.00
O1 0.771 0.304 0.033  -0.04
O2 0.267 0.301 0.534  -0.04
O3 0.733 0.699 0.466  -0.04
O4 0.771 0.304 0.542  -0.04
O5 0.229 0.696 0.967  -0.04
O6 0.262 0.304 0.033  -0.04
O7 0.738 0.696 0.967  -0.04
O8 0.229 0.696 0.458  -0.04
Na1 0.500 0.000 0.000  0.00
Na2 0.000 0.000 0.000  0.00
Na3 0.500 0.000 0.500  0.00
Na4 0.000 0.000 0.500  0.00
Co1 0.000 0.500 0.000  0.12

Values from the calculation:
Theoretical density in g/cm3: 4.301
Total energy in eV per atom: -6.28
Density of states at the Fermi level in states/eV/cell: 0.0